A plane-wave DFT calculation with GGA+U was carried out for an optimized crystal structure of TiCo3O.

- final energy (eV per atom) = -5.374
- magnetic moment (μB/atom) = 0.802
- distance to the lowest polymorph of the same formula (meV per atom) = 0

```
data_TiCo3O
_chemical_formula_sum 'Ti1 Co3 O1'
_symmetry_space_group_name_H-M 'P m -3 m'
_symmetry_Int_Tables_number 221
_symmetry_space_group_name_Hall '-P 4 2 3'
_cell_length_a 3.884
_cell_length_b 3.884
_cell_length_c 3.884
_cell_angle_alpha 90.00
_cell_angle_beta 90.00
_cell_angle_gamma 90.00
loop_
_atom_site_label
_atom_site_type_symbol
_atom_site_fract_x
_atom_site_fract_y
_atom_site_fract_z
Ti1 Ti 0.000 0.000 0.000
Co1 Co 0.000 0.500 0.500
O1 O 0.500 0.500 0.500
```